# SCAN Zn2CuTcO, PBEsol geometry
# ΔE_f (raw): 236 meV per atom
# ρ: 8.1 Mg/m³
# E: -16.47 eV per atom
# spin magnetization: 0.0 μB/f.u.
data_Zn2CuTcO
_chemical_formula_sum 'Zn2 Cu1 Tc1 O1'
_symmetry_space_group_name_H-M 'P 4/m m m'
_symmetry_Int_Tables_number 123
_symmetry_space_group_name_Hall '-P 4 2'
_cell_length_a 4.1159
_cell_length_b 4.1159
_cell_length_c 3.7290
_cell_angle_alpha 90.00
_cell_angle_beta 90.00
_cell_angle_gamma 90.00
loop_
_atom_site_label
_atom_site_type_symbol
_atom_site_fract_x
_atom_site_fract_y
_atom_site_fract_z
Zn1 Zn 0.0000 0.5000 0.0000
Cu1 Cu 0.0000 0.0000 0.5000
Tc1 Tc 0.5000 0.5000 0.5000
O1 O 0.0000 0.0000 0.0000